An optimized crystal structure of Na16Cd12Ge, computed with GGA-PBE.

The size of the total moment comes out at 0.0 μB per cell. The calculated formation energy is -83 meV/atom.

Lattice parameters (Å, degrees): 9.8627 9.8627 10.0927 109.00 109.00 107.83
Sites, in units of the cell vectors:
Na  0.9901  0.9901  0.6362
Na  0.9899  0.4037  0.6754
Na  0.0051  0.6819  0.4133
Na  0.2892  0.5819  0.5910
Na  0.4286  0.6603  0.0231
Na  0.7093  0.3292  0.3071
Na  0.6819  0.0051  0.4133
Na  0.4037  0.9899  0.6754
Na  0.6603  0.4286  0.0231
Na  0.6349  0.9965  0.0036
Na  0.3017  0.3017  0.7053
Na  0.3292  0.7093  0.3071
Na  0.3762  0.3762  0.3166
Na  0.9965  0.6349  0.0036
Na  0.9960  0.9960  0.0028
Na  0.5819  0.2892  0.5910
Cd  0.6513  0.6513  0.8371
Cd  0.0005  0.3674  0.1786
Cd  0.7960  0.1816  0.8204
Cd  0.1816  0.7960  0.8204
Cd  0.8252  0.6381  0.6369
Cd  0.1574  0.3404  0.9695
Cd  0.1859  0.9972  0.3566
Cd  0.6381  0.8252  0.6369
Cd  0.3674  0.0005  0.1786
Cd  0.9972  0.1859  0.3566
Cd  0.8193  0.8193  0.1989
Cd  0.3404  0.1574  0.9695
Ge  0.6652  0.6652  0.3521


An optimized crystal structure of Na2Cd2Ge, computed with GGA-PBE.

The size of the total moment comes out at 0.0 μB per cell. The calculated formation energy is -9 meV/atom.

Lattice parameters (Å, degrees): 7.1781 7.1781 5.0531 90.00 90.00 90.00
Sites, in units of the cell vectors:
Ge  0.0000  0.0000  0.0000
Ge  0.5000  0.5000  0.0000
Na  0.6749  0.8251  0.5000
Na  0.3251  0.1749  0.5000
Na  0.1749  0.6749  0.5000
Na  0.8251  0.3251  0.5000
Cd  0.6405  0.1405  0.0000
Cd  0.3595  0.8595  0.0000
Cd  0.1405  0.3595  0.0000
Cd  0.8595  0.6405  0.0000